Record 1
DFT (PBE-GGA) results for a relaxed InSn2Pb3 crystal.

Lattice parameters (Å, degrees): 10.973 4.753 7.117 90.00 106.23 90.00
Fractional coordinates of all 12 atoms:
1 In 0.000 0.000 0.000
2 In 0.500 0.500 0.000
3 Sn 0.164 0.500 0.846
4 Sn 0.336 0.000 0.154
5 Sn 0.664 0.000 0.846
6 Sn 0.836 0.500 0.154
7 Pb 0.000 0.000 0.500
8 Pb 0.171 0.500 0.323
9 Pb 0.329 0.000 0.677
10 Pb 0.500 0.500 0.500
11 Pb 0.671 0.000 0.323
12 Pb 0.829 0.500 0.677

Results
ΔE_f: 0.72 kcal/mol of atoms
Electronic total energy: -3.6134 eV per atom
Calculated volume: 356.3 Å³ per cell


Record 2
DFT (PBE-GGA) results for a relaxed InSnPb3 crystal.

Lattice parameters (Å, degrees): 8.257 8.257 6.922 107.11 107.11 42.63
Fractional coordinates of all 10 atoms:
1 In 0.096 0.096 0.454
2 In 0.904 0.904 0.546
3 Sn 0.297 0.297 0.836
4 Sn 0.703 0.703 0.164
5 Pb 0.102 0.102 0.947
6 Pb 0.294 0.294 0.353
7 Pb 0.497 0.497 0.246
8 Pb 0.503 0.503 0.754
9 Pb 0.706 0.706 0.647
10 Pb 0.898 0.898 0.053

Results
ΔE_f: 1.19 kcal/mol of atoms
Electronic total energy: -3.5217 eV per atom
Calculated volume: 303.2 Å³ per cell


Record 3
DFT (PBE-GGA) results for a relaxed InSn4Pb7 crystal.

Lattice parameters (Å, degrees): 5.588 5.588 13.315 90.00 90.00 120.00
Fractional coordinates of all 12 atoms:
1 In 0.000 0.000 0.000
2 Sn 0.333 0.667 0.147
3 Sn 0.333 0.667 0.386
4 Sn 0.667 0.333 0.614
5 Sn 0.667 0.333 0.853
6 Pb 0.000 0.000 0.246
7 Pb 0.000 0.000 0.500
8 Pb 0.000 0.000 0.754
9 Pb 0.333 0.667 0.634
10 Pb 0.333 0.667 0.895
11 Pb 0.667 0.333 0.105
12 Pb 0.667 0.333 0.366

Results
ΔE_f: 1.13 kcal/mol of atoms
Electronic total energy: -3.6765 eV per atom
Calculated volume: 360.1 Å³ per cell


Record 4
DFT (PBE-GGA) results for a relaxed InSn2Pb crystal.

Lattice parameters (Å, degrees): 3.803 3.803 7.838 90.00 90.00 90.00
Fractional coordinates of all 4 atoms:
1 In 0.000 0.000 0.000
2 Sn 0.500 0.500 0.232
3 Sn 0.500 0.500 0.768
4 Pb 0.000 0.000 0.500

Results
ΔE_f: 1.38 kcal/mol of atoms
Electronic total energy: -3.5534 eV per atom
Calculated volume: 113.4 Å³ per cell


Record 5
DFT (PBE-GGA) results for a relaxed In12Sn6Pb crystal.

Lattice parameters (Å, degrees): 8.833 8.833 8.833 107.74 107.74 107.74
Fractional coordinates of all 19 atoms:
1 In 0.000 0.386 0.614
2 In 0.000 0.614 0.386
3 In 0.162 0.162 0.406
4 In 0.162 0.406 0.162
5 In 0.386 0.000 0.614
6 In 0.386 0.614 0.000
7 In 0.406 0.162 0.162
8 In 0.594 0.838 0.838
9 In 0.614 0.000 0.386
10 In 0.614 0.386 0.000
11 In 0.838 0.594 0.838
12 In 0.838 0.838 0.594
13 Sn 0.192 0.192 0.798
14 Sn 0.192 0.798 0.192
15 Sn 0.202 0.808 0.808
16 Sn 0.798 0.192 0.192
17 Sn 0.808 0.202 0.808
18 Sn 0.808 0.808 0.202
19 Pb 0.500 0.500 0.500

Results
ΔE_f: 1.66 kcal/mol of atoms
Electronic total energy: -3.1166 eV per atom
Calculated volume: 561.9 Å³ per cell


Record 6
DFT (PBE-GGA) results for a relaxed In3Sn2Pb6 crystal.

Lattice parameters (Å, degrees): 9.832 9.832 9.832 109.47 109.47 109.47
Fractional coordinates of all 22 atoms:
1 In 0.000 0.235 0.235
2 In 0.000 0.765 0.765
3 In 0.235 0.000 0.235
4 In 0.235 0.235 0.000
5 In 0.765 0.000 0.765
6 In 0.765 0.765 0.000
7 Sn 0.000 0.000 0.500
8 Sn 0.000 0.500 0.000
9 Sn 0.500 0.000 0.000
10 Sn 0.500 0.500 0.500
11 Pb 0.000 0.352 0.648
12 Pb 0.000 0.648 0.352
13 Pb 0.295 0.648 0.648
14 Pb 0.352 0.000 0.648
15 Pb 0.352 0.352 0.705
16 Pb 0.352 0.648 0.000
17 Pb 0.352 0.705 0.352
18 Pb 0.648 0.000 0.352
19 Pb 0.648 0.295 0.648
20 Pb 0.648 0.352 0.000
21 Pb 0.648 0.648 0.295
22 Pb 0.705 0.352 0.352

Results
ΔE_f: 3.81 kcal/mol of atoms
Electronic total energy: -3.3320 eV per atom
Calculated volume: 731.7 Å³ per cell


Record 7
DFT (PBE-GGA) results for a relaxed InSn4Pb crystal.

Lattice parameters (Å, degrees): 8.530 9.165 5.631 90.00 129.53 90.00
Fractional coordinates of all 12 atoms:
1 In 0.000 0.000 0.000
2 In 0.500 0.500 0.000
3 Sn 0.244 0.329 0.245
4 Sn 0.244 0.671 0.245
5 Sn 0.256 0.171 0.755
6 Sn 0.256 0.829 0.755
7 Sn 0.744 0.171 0.245
8 Sn 0.744 0.829 0.245
9 Sn 0.756 0.329 0.755
10 Sn 0.756 0.671 0.755
11 Pb 0.000 0.500 0.500
12 Pb 0.500 0.000 0.500

Results
ΔE_f: 1.01 kcal/mol of atoms
Electronic total energy: -3.6990 eV per atom
Calculated volume: 339.6 Å³ per cell


Record 8
DFT (PBE-GGA) results for a relaxed In6SnPb2 crystal.

Lattice parameters (Å, degrees): 4.286 8.607 8.607 122.18 90.00 90.00
Fractional coordinates of all 9 atoms:
1 In 0.000 0.000 0.000
2 In 0.000 0.462 0.714
3 In 0.000 0.714 0.462
4 In 0.500 0.101 0.724
5 In 0.500 0.325 0.325
6 In 0.500 0.724 0.101
7 Sn 0.500 0.728 0.728
8 Pb 0.000 0.044 0.395
9 Pb 0.000 0.395 0.044

Results
ΔE_f: 1.63 kcal/mol of atoms
Electronic total energy: -3.0237 eV per atom
Calculated volume: 268.8 Å³ per cell